No. 1
## TcRhF3 (PBE)

Data for TcRhF3 after structural relaxation.

Lattice parameters (Å, degrees): 4.1766 4.1766 4.1766 90.00 90.00 90.00
Positions (direct):
Tc (0.0000, 0.0000, 0.0000)
Rh (0.5000, 0.5000, 0.5000)
F (0.0000, 0.0000, 0.5000)
F (0.0000, 0.5000, 0.0000)
F (0.5000, 0.0000, 0.0000)



No. 2
## Tc3RhF (PBE)

Data for Tc3RhF after structural relaxation.

Lattice parameters (Å, degrees): 4.1209 4.1209 4.1209 90.00 90.00 90.00
Positions (direct):
Tc (0.0000, 0.0000, 0.5000)
Tc (0.0000, 0.5000, 0.0000)
Tc (0.5000, 0.0000, 0.0000)
Rh (0.5000, 0.5000, 0.5000)
F (0.0000, 0.0000, 0.0000)



No. 3
## TcRhF2 (PBE)

Data for TcRhF2 after structural relaxation.

Lattice parameters (Å, degrees): 8.1766 8.1766 8.1766 154.05 154.05 37.03
Positions (direct):
Tc (0.0000, 0.0000, 0.0000)
Tc (0.7500, 0.2500, 0.5000)
Rh (0.2500, 0.7500, 0.5000)
Rh (0.5000, 0.5000, 0.0000)
F (0.1022, 0.6250, 0.9772)
F (0.3750, 0.3522, 0.4772)
F (0.6478, 0.1250, 0.0228)
F (0.8750, 0.8978, 0.5228)



No. 4
## TcRhF3 (PBE)

Data for TcRhF3 after structural relaxation.

Lattice parameters (Å, degrees): 4.2464 4.2464 4.2464 90.00 90.00 90.00
Positions (direct):
Tc (0.0000, 0.0000, 0.0000)
Rh (0.5000, 0.5000, 0.5000)
F (0.0000, 0.5000, 0.5000)
F (0.5000, 0.0000, 0.5000)
F (0.5000, 0.5000, 0.0000)



No. 5
## TcRhF2 (PBE)

Data for TcRhF2 after structural relaxation.

Lattice parameters (Å, degrees): 8.4984 8.4984 8.4984 18.16 18.16 18.16
Positions (direct):
Tc (0.0000, 0.0000, 0.0000)
Rh (0.5000, 0.5000, 0.5000)
F (0.0779, 0.0779, 0.0779)
F (0.9221, 0.9221, 0.9221)



No. 6
## TcRh3F (PBE)

Data for TcRh3F after structural relaxation.

Lattice parameters (Å, degrees): 4.2131 4.2131 4.2131 90.00 90.00 90.00
Positions (direct):
Tc (0.0000, 0.0000, 0.0000)
Rh (0.0000, 0.5000, 0.5000)
Rh (0.5000, 0.0000, 0.5000)
Rh (0.5000, 0.5000, 0.0000)
F (0.5000, 0.5000, 0.5000)



No. 7
## Tc3RhF (PBE)

Data for Tc3RhF after structural relaxation.

Lattice parameters (Å, degrees): 4.7232 4.7232 4.7232 90.00 90.00 90.00
Positions (direct):
Tc (0.0000, 0.0000, 0.5000)
Tc (0.0000, 0.5000, 0.0000)
Tc (0.5000, 0.0000, 0.0000)
Rh (0.0000, 0.0000, 0.0000)
F (0.5000, 0.5000, 0.5000)



No. 8
## TeRhF3 (PBE)

Data for TeRhF3 after structural relaxation.

Lattice parameters (Å, degrees): 4.5706 4.5706 4.5706 90.00 90.00 90.00
Positions (direct):
Te (0.0000, 0.0000, 0.0000)
Rh (0.5000, 0.5000, 0.5000)
F (0.0000, 0.0000, 0.5000)
F (0.0000, 0.5000, 0.0000)
F (0.5000, 0.0000, 0.0000)



No. 9
## TeRh2F (PBE)

Data for TeRh2F after structural relaxation.

Lattice parameters (Å, degrees): 4.3872 4.3872 4.3872 60.00 60.00 60.00
Positions (direct):
Te (0.0000, 0.0000, 0.0000)
Rh (0.2500, 0.2500, 0.2500)
Rh (0.7500, 0.7500, 0.7500)
F (0.5000, 0.5000, 0.5000)



No. 10
## TeRh2F (PBE)

Data for TeRh2F after structural relaxation.

Lattice parameters (Å, degrees): 5.5394 5.5394 5.5394 106.25 106.25 116.13
Positions (direct):
Te (0.0000, 0.0000, 0.0000)
Te (0.7500, 0.2500, 0.5000)
Rh (0.1441, 0.1250, 0.5191)
Rh (0.3750, 0.8559, 0.9809)
Rh (0.6059, 0.6250, 0.4809)
Rh (0.8750, 0.3941, 0.0191)
F (0.2500, 0.7500, 0.5000)
F (0.5000, 0.5000, 0.0000)



No. 11
## TeRh3F (PBE)

Data for TeRh3F after structural relaxation.

Lattice parameters (Å, degrees): 4.3627 4.3627 4.3627 90.00 90.00 90.00
Positions (direct):
Te (0.0000, 0.0000, 0.0000)
Rh (0.0000, 0.5000, 0.5000)
Rh (0.5000, 0.0000, 0.5000)
Rh (0.5000, 0.5000, 0.0000)
F (0.5000, 0.5000, 0.5000)



No. 12
## TeRhF3 (PBE)

Data for TeRhF3 after structural relaxation.

Lattice parameters (Å, degrees): 4.3237 4.3237 4.3237 90.00 90.00 90.00
Positions (direct):
Te (0.0000, 0.0000, 0.0000)
Rh (0.5000, 0.5000, 0.5000)
F (0.0000, 0.5000, 0.5000)
F (0.5000, 0.0000, 0.5000)
F (0.5000, 0.5000, 0.0000)



The evaluated formation energy (no corrections) for the records listed, in turn: -0.4404, 0.7934, -0.2743, -0.2548, -0.5833, 0.8712, 1.8219, -0.3659, -0.4709, -0.2270, 0.4914, -0.6295 eV/atom.